Compound: Nd6P2S3O
Source: the Alexandria database
Functional: PBE
Structure: optimized geometry

Results
calculated volume = 23.24 A^3/atom
M_tot = 0.0000 μB per atom
ΔE_f (raw) = -1.960 eV/atom

abc: 17.645 4.022 8.110
angles: 90.00 104.29 90.00
Space group C2/m (No. 12)
One atom of each set of equivalent atoms:
Nd 0.000 0.000 0.226
Nd 0.153 0.500 0.079
Nd 0.168 0.500 0.581
P 0.164 0.000 0.330
S 0.000 0.500 0.500
S 0.171 0.000 0.837
O 0.000 0.500 0.000